[1]
Below is a geometry-optimized Mn2IrBr structure, with properties calculated at the PBE level.

Cell: 6.079 6.079 7.049 Å, 64.45 64.45 90.00°
Fractional coordinates of all 8 atoms:
Mn1 0.659 0.125 0.250
Ir1 0.000 0.000 0.000
Br1 0.500 0.500 0.000
Ir2 0.750 0.250 0.500
Mn2 0.375 0.341 0.750
Mn3 0.091 0.625 0.250
Mn4 0.875 0.909 0.750
Br2 0.250 0.750 0.500

## Properties
- raw formation energy (meV per atom) = 691

---

[2]
Below is a geometry-optimized MnIr3Br structure, with properties calculated at the PBE level.

Cell: 4.539 4.539 4.539 Å, 90.00 90.00 90.00°
Fractional coordinates of all 5 atoms:
Br1 0.500 0.500 0.500
Ir1 0.500 0.000 0.000
Mn1 0.000 0.000 0.000
Ir2 0.000 0.500 0.000
Ir3 0.000 0.000 0.500

## Properties
- raw formation energy (meV per atom) = 1640

---

[3]
Below is a geometry-optimized MnIr2Br structure, with properties calculated at the PBE level.

Cell: 4.403 4.403 4.403 Å, 60.00 60.00 60.00°
Fractional coordinates of all 4 atoms:
Ir1 0.750 0.750 0.750
Br1 0.500 0.500 0.500
Mn1 0.000 0.000 0.000
Ir2 0.250 0.250 0.250

## Properties
- raw formation energy (meV per atom) = 1229